Below is a geometry-optimized Be2TeH2 structure, with properties calculated at the PBE-GGA level.

Properties
- V (Å³/atom) = 11.87
- energy above the most stable polymorph in this dataset (eV/atom) = 0.4076
- calculated total energy (eV per atom) = -2.71

CIF file:
```
data_Be2TeH2
_chemical_formula_sum 'Be4 Te2 H4'
_space_group_name_H-M_alt 'P 4/m b m'
_space_group_IT_number 127
_space_group_name_Hall '-P 4 2ab'
_cell_length_a 6.529
_cell_length_b 6.529
_cell_length_c 2.784
_cell_angle_alpha 90.00
_cell_angle_beta 90.00
_cell_angle_gamma 90.00
loop_
_atom_site_label
_atom_site_fract_x
_atom_site_fract_y
_atom_site_fract_z
_atom_site_occupancy
Be1 0.107 0.393 0.000 1
Te1 0.000 0.000 0.000 1
H1 0.103 0.603 0.500 1
```